[1]
This record from Alexandria describes a PBEsol-optimized structure of NbAsRhSe2. The functional is SCAN.

abc: 4.815 4.815 4.545
angles: 90.00 90.00 90.00
Space group P4/mmm (No. 123)
Inequivalent atoms, fractional coordinates:
Nb 0.000 0.000 0.000 x1
As 0.500 0.500 0.000 x1
Rh 0.500 0.500 0.500 x1
Se 0.000 0.500 0.500 x2

Properties
**Offset from the most stable computed form**: 0 meV per atom
**Calculated volume**: 105.36 Å³/cell
**ΔE_f (raw)**: 525 meV/atom

=====

[2]
This record from Alexandria describes a PBEsol-optimized structure of Nb2As2Ru. The functional is SCAN.

abc: 4.301 4.301 9.931
angles: 90.00 90.00 90.00
Space group I4/mmm (No. 139)
Inequivalent atoms, fractional coordinates:
Nb 0.000 0.500 0.250 x4
As 0.000 0.000 0.116 x4
Ru 0.000 0.000 0.500 x2

Properties
**Calculated volume**: 183.72 Å³/cell
**DFT formation energy**: 0.272 eV/atom

=====

[3]
This record from Alexandria describes a PBEsol-optimized structure of NbSbAs3. The functional is SCAN.

abc: 4.955 4.955 4.955
angles: 90.00 90.00 90.00
Space group Pm-3m (No. 221)
Inequivalent atoms, fractional coordinates:
Nb 0.000 0.000 0.000 x1
Sb 0.500 0.500 0.500 x1
As 0.000 0.000 0.500 x3

Properties
**Calculated volume**: 121.62 Å³/cell
**ΔE_f (raw)**: 452 meV/atom

=====

[4]
This record from Alexandria describes a PBEsol-optimized structure of Nb2SbAs2. The functional is SCAN.

abc: 3.710 3.710 13.601
angles: 90.00 90.00 90.00
Space group I4/mmm (No. 139)
Inequivalent atoms, fractional coordinates:
Nb 0.000 0.000 0.110 x4
Sb 0.000 0.000 0.500 x2
As 0.000 0.500 0.250 x4

Properties
**Calculated volume**: 187.23 Å³/cell
**ΔE_f (raw)**: -208 meV/atom

=====

[5]
This record from Alexandria describes a PBEsol-optimized structure of NbSbAs2Se. The functional is SCAN.

abc: 5.011 5.011 4.874
angles: 90.00 90.00 90.00
Space group P4/mmm (No. 123)
Inequivalent atoms, fractional coordinates:
Nb 0.000 0.000 0.000 x1
Sb 0.500 0.500 0.500 x1
As 0.000 0.500 0.000 x2
Se 0.000 0.000 0.500 x1

Properties
**Calculated volume**: 122.40 Å³/cell
**ΔE_f (raw)**: 348 meV/atom

=====

[6]
This record from Alexandria describes a PBEsol-optimized structure of Nb2AsSe. The functional is SCAN.

abc: 6.390 6.390 6.390
angles: 90.00 90.00 90.00
Space group Fm-3m (No. 225)
Inequivalent atoms, fractional coordinates:
Nb 0.250 0.250 0.250 x8
As 0.000 0.000 0.000 x4
Se 0.000 0.000 0.500 x4

Properties
**Calculated volume**: 260.87 Å³/cell
**ΔE_f (raw)**: -432 meV/atom

=====

[7]
This record from Alexandria describes a PBEsol-optimized structure of SrNbAs2Se. The functional is SCAN.

abc: 4.981 4.981 5.098
angles: 90.00 90.00 90.00
Space group P4/mmm (No. 123)
Inequivalent atoms, fractional coordinates:
Sr 0.000 0.000 0.000 x1
Nb 0.500 0.500 0.500 x1
As 0.000 0.500 0.500 x2
Se 0.500 0.500 0.000 x1

Properties
**Calculated volume**: 126.49 Å³/cell
**ΔE_f (raw)**: -691 meV/atom

=====

[8]
This record from Alexandria describes a PBEsol-optimized structure of NbTcAs2Se. The functional is SCAN.

abc: 4.956 4.956 4.866
angles: 90.00 90.00 90.00
Space group P4/mmm (No. 123)
Inequivalent atoms, fractional coordinates:
Nb 0.000 0.000 0.000 x1
Tc 0.500 0.500 0.500 x1
As 0.000 0.500 0.000 x2
Se 0.000 0.000 0.500 x1

Properties
**Calculated volume**: 119.52 Å³/cell
**ΔE_f (raw)**: 816 meV/atom

=====

Number 1: N(E_F) 3.77 states/eV per cell. Number 2: N(E_F) 6.02 states/eV per cell. Number 3: N(E_F) 3.58 states/eV per cell. Number 4: N(E_F) 8.27 states/eV per cell. Number 5: N(E_F) 4.27 states/eV per cell. Number 6: N(E_F) 14.85 states/eV per cell. Number 7: N(E_F) 2.03 states/eV per cell. Number 8: N(E_F) 2.58 states/eV per cell.